1.
Material: Ba2NaSnH
Method: DFT, GGA-PBE
State: optimized geometry

Relative energy among the computed polymorphs in kJ/mol of atoms: 17.7
Total magnetic moment in μB per formula unit: 0.0

Unit cell a=5.9272 b=5.9272 c=4.6125 alpha=90.00 beta=90.00 gamma=90.00
Space group P4/mmm (No. 123)
Inequivalent atoms, fractional coordinates:
Ba 0.0000 0.5000 0.0000 (multiplicity 2)
Na 0.0000 0.0000 0.5000 (multiplicity 1)
Sn 0.5000 0.5000 0.5000 (multiplicity 1)
H 0.5000 0.5000 0.0000 (multiplicity 1)

---

2.
Material: Ba2NaSnH
Method: DFT, GGA-PBE
State: optimized geometry

Relative energy among the computed polymorphs in kJ/mol of atoms: 0.0
Total magnetic moment in μB per formula unit: 0.0

Unit cell a=5.6146 b=5.6146 c=4.9120 alpha=90.00 beta=90.00 gamma=90.00
Space group P4/mmm (No. 123)
Inequivalent atoms, fractional coordinates:
Ba 0.0000 0.5000 0.0000 (multiplicity 2)
Na 0.0000 0.0000 0.5000 (multiplicity 1)
Sn 0.5000 0.5000 0.5000 (multiplicity 1)
H 0.0000 0.0000 0.0000 (multiplicity 1)

---

3.
Material: Ba2NaSrH
Method: DFT, GGA-PBE
State: optimized geometry

Relative energy among the computed polymorphs in kJ/mol of atoms: 0.0
Total magnetic moment in μB per formula unit: 0.0

Unit cell a=6.0261 b=6.0261 c=5.6548 alpha=90.00 beta=90.00 gamma=90.00
Space group P4/mmm (No. 123)
Inequivalent atoms, fractional coordinates:
Ba 0.0000 0.5000 0.0000 (multiplicity 2)
Na 0.0000 0.0000 0.5000 (multiplicity 1)
Sr 0.5000 0.5000 0.5000 (multiplicity 1)
H 0.5000 0.5000 0.0000 (multiplicity 1)

---

4.
Material: BaNa2SrH
Method: DFT, GGA-PBE
State: optimized geometry

Relative energy among the computed polymorphs in kJ/mol of atoms: 4.1
Total magnetic moment in μB per formula unit: 0.3

Unit cell a=6.4937 b=6.4937 c=4.6677 alpha=90.00 beta=90.00 gamma=90.00
Space group P4/mmm (No. 123)
Inequivalent atoms, fractional coordinates:
Ba 0.0000 0.0000 0.0000 (multiplicity 1)
Na 0.0000 0.5000 0.5000 (multiplicity 2)
Sr 0.5000 0.5000 0.0000 (multiplicity 1)
H 0.5000 0.5000 0.5000 (multiplicity 1)

---

5.
Material: BaNa2SrH
Method: DFT, GGA-PBE
State: optimized geometry

Relative energy among the computed polymorphs in kJ/mol of atoms: 0.0
Total magnetic moment in μB per formula unit: 0.0

Unit cell a=6.1095 b=6.1095 c=5.1144 alpha=90.00 beta=90.00 gamma=90.00
Space group P4/mmm (No. 123)
Inequivalent atoms, fractional coordinates:
Ba 0.0000 0.0000 0.0000 (multiplicity 1)
Na 0.0000 0.5000 0.5000 (multiplicity 2)
Sr 0.5000 0.5000 0.0000 (multiplicity 1)
H 0.0000 0.0000 0.5000 (multiplicity 1)

---

6.
Material: BaNaSr2H
Method: DFT, GGA-PBE
State: optimized geometry

Relative energy among the computed polymorphs in kJ/mol of atoms: 0.0
Total magnetic moment in μB per formula unit: 0.0

Unit cell a=5.6940 b=5.6940 c=6.0212 alpha=90.00 beta=90.00 gamma=90.00
Space group P4/mmm (No. 123)
Inequivalent atoms, fractional coordinates:
Ba 0.0000 0.0000 0.0000 (multiplicity 1)
Na 0.5000 0.5000 0.0000 (multiplicity 1)
Sr 0.0000 0.5000 0.5000 (multiplicity 2)
H 0.0000 0.0000 0.5000 (multiplicity 1)

---

7.
Material: Ba2NaSrH
Method: DFT, GGA-PBE
State: optimized geometry

Relative energy among the computed polymorphs in kJ/mol of atoms: 3.1
Total magnetic moment in μB per formula unit: 0.0

Unit cell a=5.7988 b=5.7988 c=6.2145 alpha=90.00 beta=90.00 gamma=90.00
Space group P4/mmm (No. 123)
Inequivalent atoms, fractional coordinates:
Ba 0.0000 0.5000 0.0000 (multiplicity 2)
Na 0.0000 0.0000 0.5000 (multiplicity 1)
Sr 0.5000 0.5000 0.5000 (multiplicity 1)
H 0.0000 0.0000 0.0000 (multiplicity 1)

---

8.
Material: BaNaSr2H
Method: DFT, GGA-PBE
State: optimized geometry

Relative energy among the computed polymorphs in kJ/mol of atoms: 7.8
Total magnetic moment in μB per formula unit: 0.0

Unit cell a=5.5492 b=5.5492 c=6.5724 alpha=90.00 beta=90.00 gamma=90.00
Space group P4/mmm (No. 123)
Inequivalent atoms, fractional coordinates:
Ba 0.0000 0.0000 0.0000 (multiplicity 1)
Na 0.5000 0.5000 0.0000 (multiplicity 1)
Sr 0.0000 0.5000 0.5000 (multiplicity 2)
H 0.5000 0.5000 0.5000 (multiplicity 1)

---

9.
Material: Ba2NaTeH
Method: DFT, GGA-PBE
State: optimized geometry

Total energy in eV/atom: -3.00
Total magnetic moment in μB per formula unit: 0.1

Unit cell a=5.6248 b=5.6248 c=4.7557 alpha=90.00 beta=90.00 gamma=90.00
Space group P4/mmm (No. 123)
Inequivalent atoms, fractional coordinates:
Ba 0.0000 0.5000 0.0000 (multiplicity 2)
Na 0.0000 0.0000 0.5000 (multiplicity 1)
Te 0.5000 0.5000 0.5000 (multiplicity 1)
H 0.0000 0.0000 0.0000 (multiplicity 1)

---

10.
Material: Ba2NaTlH
Method: DFT, GGA-PBE
State: optimized geometry

Relative energy among the computed polymorphs in kJ/mol of atoms: 13.2
Total magnetic moment in μB per formula unit: 0.0

Unit cell a=5.8174 b=5.8174 c=4.9311 alpha=90.00 beta=90.00 gamma=90.00
Space group P4/mmm (No. 123)
Inequivalent atoms, fractional coordinates:
Ba 0.0000 0.5000 0.0000 (multiplicity 2)
Na 0.0000 0.0000 0.5000 (multiplicity 1)
Tl 0.5000 0.5000 0.5000 (multiplicity 1)
H 0.5000 0.5000 0.0000 (multiplicity 1)

---

11.
Material: BaNa2TlH
Method: DFT, GGA-PBE
State: optimized geometry

Total energy in eV/atom: -2.23
Total magnetic moment in μB per formula unit: 0.0

Unit cell a=5.1453 b=5.1453 c=5.4403 alpha=90.00 beta=90.00 gamma=90.00
Space group P4/mmm (No. 123)
Inequivalent atoms, fractional coordinates:
Ba 0.0000 0.0000 0.0000 (multiplicity 1)
Na 0.0000 0.5000 0.5000 (multiplicity 2)
Tl 0.5000 0.5000 0.0000 (multiplicity 1)
H 0.0000 0.0000 0.5000 (multiplicity 1)

---

12.
Material: Ba2NaTlH
Method: DFT, GGA-PBE
State: optimized geometry

Relative energy among the computed polymorphs in kJ/mol of atoms: 0.0
Total magnetic moment in μB per formula unit: 0.0

Unit cell a=5.8268 b=5.8268 c=4.6935 alpha=90.00 beta=90.00 gamma=90.00
Space group P4/mmm (No. 123)
Inequivalent atoms, fractional coordinates:
Ba 0.0000 0.5000 0.0000 (multiplicity 2)
Na 0.0000 0.0000 0.5000 (multiplicity 1)
Tl 0.5000 0.5000 0.5000 (multiplicity 1)
H 0.0000 0.0000 0.0000 (multiplicity 1)

---

13.
Material: BaNaTl2H
Method: DFT, GGA-PBE
State: optimized geometry

Total energy in eV/atom: -2.35
Total magnetic moment in μB per formula unit: 0.0

Unit cell a=5.3933 b=5.3933 c=5.0010 alpha=90.00 beta=90.00 gamma=90.00
Space group P4/mmm (No. 123)
Inequivalent atoms, fractional coordinates:
Ba 0.0000 0.0000 0.0000 (multiplicity 1)
Na 0.5000 0.5000 0.0000 (multiplicity 1)
Tl 0.0000 0.5000 0.5000 (multiplicity 2)
H 0.0000 0.0000 0.5000 (multiplicity 1)

---

14.
Material: Ba2NaZnH
Method: DFT, GGA-PBE
State: optimized geometry

Relative energy among the computed polymorphs in kJ/mol of atoms: 0.0
Total magnetic moment in μB per formula unit: 0.0

Unit cell a=5.7452 b=5.7452 c=4.6406 alpha=90.00 beta=90.00 gamma=90.00
Space group P4/mmm (No. 123)
Inequivalent atoms, fractional coordinates:
Ba 0.0000 0.5000 0.0000 (multiplicity 2)
Na 0.0000 0.0000 0.5000 (multiplicity 1)
Zn 0.5000 0.5000 0.5000 (multiplicity 1)
H 0.0000 0.0000 0.0000 (multiplicity 1)

---

15.
Material: BaNaZn2H6
Method: DFT, GGA-PBE
State: optimized geometry

Total energy in eV/atom: -2.72
Total magnetic moment in μB per formula unit: 0.0

Unit cell a=5.2231 b=5.2231 c=18.3339 alpha=90.00 beta=90.00 gamma=120.00
Space group R-3m (No. 166, hexagonal axes)
Inequivalent atoms, fractional coordinates:
Ba 0.0000 0.0000 0.0000 (multiplicity 3)
Na 0.0000 0.0000 0.5000 (multiplicity 3)
Zn 0.0000 0.0000 0.2423 (multiplicity 6)
H 0.0142 0.5071 0.0726 (multiplicity 18)

---

16.
Material: BaNa2ZnH
Method: DFT, GGA-PBE
State: optimized geometry

Total energy in eV/atom: -1.90
Total magnetic moment in μB per formula unit: 0.0

Unit cell a=4.9128 b=4.9128 c=5.5955 alpha=90.00 beta=90.00 gamma=90.00
Space group P4/mmm (No. 123)
Inequivalent atoms, fractional coordinates:
Ba 0.0000 0.0000 0.0000 (multiplicity 1)
Na 0.0000 0.5000 0.5000 (multiplicity 2)
Zn 0.5000 0.5000 0.0000 (multiplicity 1)
H 0.0000 0.0000 0.5000 (multiplicity 1)

---

17.
Material: Ba2NaZnH6
Method: DFT, GGA-PBE
State: optimized geometry

Total energy in eV/atom: -2.91
Total magnetic moment in μB per formula unit: 0.4

Unit cell a=8.2775 b=8.2710 c=5.8500 alpha=90.00 beta=134.87 gamma=90.00
Space group C2/m (No. 12)
Inequivalent atoms, fractional coordinates:
Ba 0.0000 0.2502 0.0000 (multiplicity 4)
Na 0.0000 0.0000 0.5000 (multiplicity 2)
Zn 0.0000 0.5000 0.5000 (multiplicity 2)
H 0.0000 0.2732 0.5000 (multiplicity 4)
H 0.2268 0.5000 0.5001 (multiplicity 4)
H 0.2267 0.5000 0.9536 (multiplicity 4)

---

18.
Material: Ba2NaZnH
Method: DFT, GGA-PBE
State: optimized geometry

Relative energy among the computed polymorphs in kJ/mol of atoms: 9.6
Total magnetic moment in μB per formula unit: 0.0

Unit cell a=5.7012 b=5.7012 c=4.7550 alpha=90.00 beta=90.00 gamma=90.00
Space group P4/mmm (No. 123)
Inequivalent atoms, fractional coordinates:
Ba 0.0000 0.5000 0.0000 (multiplicity 2)
Na 0.0000 0.0000 0.5000 (multiplicity 1)
Zn 0.5000 0.5000 0.5000 (multiplicity 1)
H 0.5000 0.5000 0.0000 (multiplicity 1)

---

19.
Material: Ba2NbH
Method: DFT, GGA-PBE
State: optimized geometry

Relative energy among the computed polymorphs in kJ/mol of atoms: 0.0
Total magnetic moment in μB per formula unit: 4.3

Unit cell a=8.0714 b=8.0714 c=8.2244 alpha=90.00 beta=90.00 gamma=90.00
Space group I-42d (No. 122)
Inequivalent atoms, fractional coordinates:
Ba 0.1547 0.2500 0.1250 (multiplicity 8)
Nb 0.0000 0.0000 0.5000 (multiplicity 4)
H 0.0000 0.0000 0.0000 (multiplicity 4)

---

20.
Material: BaNbH3
Method: DFT, GGA-PBE
State: optimized geometry

Relative energy among the computed polymorphs in kJ/mol of atoms: 0.0
Total magnetic moment in μB per formula unit: 2.0

Unit cell a=4.1163 b=4.1163 c=4.1163 alpha=90.00 beta=90.00 gamma=90.00
Space group Pm-3m (No. 221)
Inequivalent atoms, fractional coordinates:
Ba 0.0000 0.0000 0.0000 (multiplicity 1)
Nb 0.5000 0.5000 0.5000 (multiplicity 1)
H 0.0000 0.5000 0.5000 (multiplicity 3)

---

21.
Material: BaNbH3
Method: DFT, GGA-PBE
State: optimized geometry

Relative energy among the computed polymorphs in kJ/mol of atoms: 112.7
Total magnetic moment in μB per formula unit: 3.9

Unit cell a=4.7150 b=4.7150 c=4.7150 alpha=90.00 beta=90.00 gamma=90.00
Space group Pm-3m (No. 221)
Inequivalent atoms, fractional coordinates:
Ba 0.0000 0.0000 0.0000 (multiplicity 1)
Nb 0.5000 0.5000 0.5000 (multiplicity 1)
H 0.0000 0.0000 0.5000 (multiplicity 3)

---

22.
Material: BaNb2H
Method: DFT, GGA-PBE
State: optimized geometry

Relative energy among the computed polymorphs in kJ/mol of atoms: 133.0
Total magnetic moment in μB per formula unit: 0.0

Unit cell a=6.7249 b=6.7249 c=6.7249 alpha=90.00 beta=90.00 gamma=90.00
Space group Fm-3m (No. 225)
Inequivalent atoms, fractional coordinates:
Ba 0.0000 0.0000 0.0000 (multiplicity 4)
Nb 0.2500 0.2500 0.2500 (multiplicity 8)
H 0.0000 0.0000 0.5000 (multiplicity 4)

---

23.
Material: BaNbH2
Method: DFT, GGA-PBE
State: optimized geometry

Relative energy among the computed polymorphs in kJ/mol of atoms: 0.0
Total magnetic moment in μB per formula unit: 0.0

Unit cell a=5.8345 b=5.8345 c=7.6845 alpha=90.00 beta=90.00 gamma=90.00
Space group I-42d (No. 122)
Inequivalent atoms, fractional coordinates:
Ba 0.0000 0.0000 0.0000 (multiplicity 4)
Nb 0.0000 0.0000 0.5000 (multiplicity 4)
H 0.1474 0.2500 0.6250 (multiplicity 8)

---

24.
Material: BaNbH2
Method: DFT, GGA-PBE
State: optimized geometry

Relative energy among the computed polymorphs in kJ/mol of atoms: 68.9
Total magnetic moment in μB per formula unit: 4.4

Unit cell a=6.6761 b=6.6761 c=6.6761 alpha=90.00 beta=90.00 gamma=90.00
Space group Fm-3m (No. 225)
Inequivalent atoms, fractional coordinates:
Ba 0.0000 0.0000 0.0000 (multiplicity 4)
Nb 0.0000 0.0000 0.5000 (multiplicity 4)
H 0.2500 0.2500 0.2500 (multiplicity 8)

---

25.
Material: Ba3NbH
Method: DFT, GGA-PBE
State: optimized geometry

Relative energy among the computed polymorphs in kJ/mol of atoms: 0.0
Total magnetic moment in μB per formula unit: 0.0

Unit cell a=5.4559 b=5.4559 c=5.4559 alpha=90.00 beta=90.00 gamma=90.00
Space group Pm-3m (No. 221)
Inequivalent atoms, fractional coordinates:
Ba 0.0000 0.0000 0.5000 (multiplicity 3)
Nb 0.5000 0.5000 0.5000 (multiplicity 1)
H 0.0000 0.0000 0.0000 (multiplicity 1)

---

26.
Material: Ba2NbH
Method: DFT, GGA-PBE
State: optimized geometry

Relative energy among the computed polymorphs in kJ/mol of atoms: 25.3
Total magnetic moment in μB per formula unit: 4.4

Unit cell a=8.1555 b=8.1555 c=8.1555 alpha=90.00 beta=90.00 gamma=90.00
Space group Fm-3m (No. 225)
Inequivalent atoms, fractional coordinates:
Ba 0.2500 0.2500 0.2500 (multiplicity 8)
Nb 0.0000 0.0000 0.0000 (multiplicity 4)
H 0.0000 0.0000 0.5000 (multiplicity 4)

---

27.
Material: BaNb2H
Method: DFT, GGA-PBE
State: optimized geometry

Relative energy among the computed polymorphs in kJ/mol of atoms: 0.0
Total magnetic moment in μB per formula unit: 0.0

Unit cell a=8.7441 b=8.7441 c=8.7441 alpha=90.00 beta=90.00 gamma=90.00
Space group Fd-3m (No. 227, origin choice 2)
Inequivalent atoms, fractional coordinates:
Ba 0.1250 0.1250 0.1250 (multiplicity 8)
Nb 0.0000 0.0000 0.5000 (multiplicity 16)
H 0.1250 0.1250 0.6250 (multiplicity 8)

---

28.
Material: BaNbHO2
Method: DFT, GGA-PBE
State: optimized geometry

Total energy in eV/atom: -6.90
Total magnetic moment in μB per formula unit: 0.0

Unit cell a=4.1914 b=4.1914 c=3.9887 alpha=90.00 beta=90.00 gamma=90.00
Space group P4/mmm (No. 123)
Inequivalent atoms, fractional coordinates:
Ba 0.0000 0.0000 0.0000 (multiplicity 1)
Nb 0.5000 0.5000 0.5000 (multiplicity 1)
H 0.5000 0.5000 0.0000 (multiplicity 1)
O 0.0000 0.5000 0.5000 (multiplicity 2)